No. 1
Density functional theory data (PBE-GGA) for InSiAu2 after structural relaxation.

Cell: 3.4553 3.4553 23.0661 Å, 90.00 90.00 120.00°
Last column: nearest neighbours and their distance in Å.
Space group R-3m (No. 166, hexagonal axes)
One atom of each set of equivalent atoms:
In1 0.0000 0.0000 0.0000 [3 per cell]  6 Au 2.96
Si1 0.0000 0.0000 0.5000 [3 per cell]  6 Au 2.59
Au1 0.0000 0.0000 0.2384 [6 per cell]  3 Si 2.59

Summary:
DOS(E_F) in states/eV/f.u.: 1.60
Calculated total energy in eV per cell: -44.2

***

No. 2
Density functional theory data (PBE-GGA) for La3RuO7 after structural relaxation.

Cell: 8.9087 5.7798 12.6365 Å, 90.00 104.43 90.00°
Last column: nearest neighbours and their distance in Å.
Space group P2_1/c (No. 14)
One atom of each set of equivalent atoms:
La1 0.0012 0.0157 0.1413 [4 per cell]  6 O 2.39-2.67
La2 0.2954 0.0190 0.4283 [4 per cell]  7 O 2.36-2.64
La3 0.4306 0.5120 0.6315 [4 per cell]  6 O 2.33-2.61
Ru1 0.2159 0.5511 0.1701 [4 per cell]  6 O 1.94-2.08
O1 0.0085 0.0762 0.3297 [4 per cell]  1 Ru 2.00
O2 0.1718 0.7350 0.5333 [4 per cell]  1 Ru 2.08
O3 0.1924 0.2358 0.5800 [4 per cell]  1 Ru 1.99
O4 0.2400 0.6412 0.7469 [4 per cell]  1 Ru 2.01
O5 0.2522 0.1067 0.8110 [4 per cell]  1 Ru 1.95
O6 0.4366 0.5581 0.1782 [4 per cell]  1 Ru 1.94
O7 0.4933 0.7423 0.4886 [4 per cell]  4 La 2.33-2.42

Summary:
Excess energy over the best structure of this formula in the dataset in meV per atom: 16.2